A plane-wave DFT calculation with PBE+U was carried out for a geometry-optimized Tb2NdWO8 structure.

Properties
**Calculated density**: 7.1 g/cm3
**Total magnetic moment**: 0.9 μB per formula unit
**Energy**: -94.6 eV per cell

abc: 5.0844 5.0845 6.9938
angles: 90.00 90.00 90.47
Closest atoms and distances in Å follow each position.
Fractional coordinates of all 12 atoms:
Tb 0.5000 0.5000 0.7571  6 O 2.23-2.34
Tb 0.5000 0.5000 0.2429  6 O 2.23-2.34
Nd 0.0000 0.0000 0.5000  6 O 2.27-2.45
W 0.0000 0.0000 0.0000  6 O 1.96-1.97
O 0.1832 0.8154 0.2056  1 W 1.96
O 0.7247 0.7263 0.0000  1 W 1.97
O 0.8169 0.1846 0.2056  1 W 1.96
O 0.8168 0.1846 0.7944  1 W 1.96
O 0.2753 0.2737 0.0000  1 W 1.97
O 0.1831 0.8154 0.7944  1 W 1.96
O 0.6826 0.6845 0.5000  2 Tb 2.23, 1 Nd 2.27
O 0.3174 0.3155 0.5000  2 Tb 2.23, 1 Nd 2.27